Record 1
TlSeBr: relaxed, GGA-PBE.

Values from the calculation:
For the magnetization, the calculation gives 0.0 μB per formula unit. As for the crystal system: monoclinic. For the uncorrected energy, the calculation gives -2.943 eV/atom. The density of states at the Fermi level is 2.28 states/eV per cell.

a = 8.260 Å, b = 3.847 Å, c = 12.500 Å
α = 90.00°, β = 90.65°, γ = 90.00°
Atoms (fractional coordinates):
Tl  0.181  0.000  0.109
Tl  0.819  0.000  0.891
Tl  0.181  0.500  0.609
Tl  0.819  0.500  0.391
Se  0.416  0.000  0.787
Se  0.584  0.000  0.213
Se  0.416  0.500  0.287
Se  0.584  0.500  0.713
Br  0.147  0.000  0.381
Br  0.853  0.000  0.619
Br  0.147  0.500  0.881
Br  0.853  0.500  0.119

---

Record 2
KAl: relaxed, GGA-PBE.

Values from the calculation:
The calculation puts the energy above the lowest structure with this stoichiometry at 0.1312 eV per atom. For the magnetization, the calculation gives 0.0 μB per formula unit. As for the crystal system: tetragonal. The density of states at the Fermi level is 6.45 states/eV per cell.

a = 13.032 Å, b = 13.032 Å, c = 4.658 Å
α = 90.00°, β = 90.00°, γ = 90.00°
Atoms (fractional coordinates):
K  0.753  0.500  0.000
K  0.247  0.500  0.000
K  0.500  0.247  0.000
K  0.500  0.753  0.000
K  0.253  0.000  0.500
K  0.747  0.000  0.500
K  0.000  0.747  0.500
K  0.000  0.253  0.500
Al  0.223  0.223  0.000
Al  0.223  0.777  0.000
Al  0.777  0.223  0.000
Al  0.777  0.777  0.000
Al  0.723  0.723  0.500
Al  0.723  0.277  0.500
Al  0.277  0.723  0.500
Al  0.277  0.277  0.500

---

Record 3
Cd2ReAu: relaxed, GGA-PBE.

Values from the calculation:
The calculation puts the energy above the lowest structure with this stoichiometry at 0.3131 eV per atom. For the magnetization, the calculation gives 0.0 μB per formula unit. As for the crystal system: tetragonal. The density of states at the Fermi level is 2.55 states/eV per cell.

a = 5.142 Å, b = 5.142 Å, c = 5.142 Å
α = 132.22°, β = 132.22°, γ = 69.88°
Atoms (fractional coordinates):
Re  0.250  0.750  0.500
Au  0.750  0.250  0.500
Cd  0.000  0.000  0.000
Cd  0.500  0.500  0.000

---

Record 4
Sc4CdNi: relaxed, GGA-PBE.

Values from the calculation:
The calculation puts the energy above the lowest structure with this stoichiometry at 0.6998 eV per atom. For the magnetization, the calculation gives 0.0 μB per formula unit. As for the crystal system: cubic. The density of states at the Fermi level is 7.60 states/eV per cell.

a = 5.684 Å, b = 5.684 Å, c = 5.684 Å
α = 60.00°, β = 60.00°, γ = 60.00°
Atoms (fractional coordinates):
Sc  0.374  0.374  0.374
Sc  0.374  0.877  0.374
Sc  0.374  0.374  0.877
Sc  0.877  0.374  0.374
Cd  0.750  0.750  0.750
Ni  0.000  0.000  0.000

---

Record 5
Na2HgBiI: relaxed, GGA-PBE.

Values from the calculation:
For the magnetization, the calculation gives 0.0 μB per formula unit. As for the crystal system: tetragonal. For the uncorrected energy, the calculation gives -1.965 eV/atom. The density of states at the Fermi level is 5.81 states/eV per cell.

a = 6.170 Å, b = 5.600 Å, c = 6.170 Å
α = 90.00°, β = 90.00°, γ = 90.00°
Atoms (fractional coordinates):
I  0.500  0.500  0.500
Na  0.000  0.000  0.500
Na  0.500  0.000  0.000
Bi  0.000  0.000  0.000
Hg  0.000  0.500  0.000

---

Record 6
LaIn2Cu: relaxed, GGA-PBE.

Values from the calculation:
For the magnetization, the calculation gives 0.0 μB per formula unit. As for the crystal system: tetragonal. For the uncorrected energy, the calculation gives -3.655 eV/atom. The density of states at the Fermi level is 4.06 states/eV per cell.

a = 4.964 Å, b = 4.964 Å, c = 9.937 Å
α = 75.54°, β = 75.54°, γ = 90.00°
Atoms (fractional coordinates):
In  0.504  0.125  0.250
In  0.246  0.625  0.250
In  0.375  0.496  0.750
In  0.875  0.754  0.750
Cu  0.500  0.500  0.000
Cu  0.250  0.750  0.500
La  0.000  0.000  0.000
La  0.750  0.250  0.500

---

Record 7
TlBi4Pb: relaxed, GGA-PBE.

Values from the calculation:
The calculation puts the energy above the lowest structure with this stoichiometry at 0.0000 eV per atom. For the magnetization, the calculation gives 0.0 μB per formula unit. As for the crystal system: orthorhombic. The density of states at the Fermi level is 3.26 states/eV per cell.

a = 3.361 Å, b = 5.788 Å, c = 10.022 Å
α = 90.00°, β = 90.02°, γ = 90.00°
Atoms (fractional coordinates):
Tl  0.000  0.500  0.500
Bi  0.499  0.500  0.164
Bi  0.501  0.500  0.836
Bi  0.500  0.000  0.671
Bi  0.500  0.000  0.329
Pb  0.000  0.000  0.000

---

Record 8
AuI2BrO: relaxed, GGA-PBE.

Values from the calculation:
The calculation puts the energy above the lowest structure with this stoichiometry at 0.1759 eV per atom. For the magnetization, the calculation gives 0.0 μB per formula unit. As for the crystal system: tetragonal. The density of states at the Fermi level is 7.96 states/eV per cell.

a = 5.528 Å, b = 4.241 Å, c = 5.528 Å
α = 90.00°, β = 90.00°, γ = 90.00°
Atoms (fractional coordinates):
I  0.000  0.000  0.500
I  0.500  0.000  0.000
Au  0.000  0.500  0.000
O  0.000  0.000  0.000
Br  0.500  0.500  0.500

---

Record 9
Li3TiZn12: relaxed, GGA-PBE.

Values from the calculation:
For the magnetization, the calculation gives 0.0 μB per formula unit. As for the crystal system: tetragonal. For the uncorrected energy, the calculation gives -1.942 eV/atom. The density of states at the Fermi level is 7.24 states/eV per cell.

a = 3.897 Å, b = 3.897 Å, c = 15.639 Å
α = 90.00°, β = 90.00°, γ = 90.00°
Atoms (fractional coordinates):
Li  0.000  0.000  0.250
Li  0.000  0.000  0.500
Li  0.000  0.000  0.750
Ti  0.000  0.000  0.000
Zn  0.500  0.500  0.000
Zn  0.500  0.500  0.254
Zn  0.500  0.500  0.500
Zn  0.500  0.500  0.746
Zn  0.500  0.000  0.126
Zn  0.500  0.000  0.376
Zn  0.500  0.000  0.624
Zn  0.500  0.000  0.874
Zn  0.000  0.500  0.126
Zn  0.000  0.500  0.376
Zn  0.000  0.500  0.624
Zn  0.000  0.500  0.874

---

Record 10
LiSiRu2: relaxed, GGA-PBE.

Values from the calculation:
For the magnetization, the calculation gives 0.0 μB per formula unit. As for the crystal system: orthorhombic. For the uncorrected energy, the calculation gives -6.678 eV/atom. The density of states at the Fermi level is 3.53 states/eV per cell.

a = 5.015 Å, b = 5.015 Å, c = 5.015 Å
α = 146.26°, β = 132.63°, γ = 59.41°
Atoms (fractional coordinates):
Li  0.254  0.754  0.500
Ru  0.993  0.993  0.000
Ru  0.743  0.243  0.500
Si  0.511  0.511  0.000

---

Record 11
SbRuPb: relaxed, GGA-PBE.

Values from the calculation:
The calculation puts the energy above the lowest structure with this stoichiometry at 0.0452 eV per atom. For the magnetization, the calculation gives 0.0 μB per formula unit. As for the crystal system: triclinic. The density of states at the Fermi level is 4.58 states/eV per cell.

a = 4.491 Å, b = 4.967 Å, c = 6.811 Å
α = 79.64°, β = 79.71°, γ = 80.52°
Atoms (fractional coordinates):
Sb  0.838  0.223  0.322
Sb  0.162  0.777  0.678
Ru  0.728  0.706  0.475
Ru  0.272  0.294  0.525
Pb  0.675  0.269  0.828
Pb  0.325  0.731  0.172

---

Record 12
GdGa: relaxed, GGA-PBE.

Values from the calculation:
For the magnetization, the calculation gives 7.5 μB per formula unit. As for the crystal system: orthorhombic. For the uncorrected energy, the calculation gives -9.184 eV/atom. The density of states at the Fermi level is 3.39 states/eV per cell.

a = 5.938 Å, b = 5.938 Å, c = 4.138 Å
α = 90.00°, β = 90.00°, γ = 137.09°
Site moments in Bohr magnetons follow the coordinates.
Atoms (fractional coordinates):
Gd  0.859  0.141  0.750  7.15
Gd  0.141  0.859  0.250  7.15
Ga  0.573  0.427  0.750  -0.02
Ga  0.427  0.573  0.250  -0.02